# 1
The following is a DFT calculation (GGA-PBE) of Tb3Pa2TaN6 after structural relaxation.

Unit cell a=5.9217 b=5.9217 c=5.9482 alpha=99.48 beta=99.48 gamma=119.90
Positions (direct):
Tb 0.1638 0.8362 0.5000
Tb 0.8362 0.1638 0.5000
Tb 0.5000 0.5000 0.5000
Pa 0.3337 0.6663 0.0000
Pa 0.6663 0.3337 0.0000
Ta 0.0000 0.0000 0.0000
N 0.9251 0.6008 0.7737
N 0.7535 0.7535 0.2323
N 0.0749 0.3992 0.2263
N 0.6008 0.9251 0.7737
N 0.2465 0.2465 0.7677
N 0.3992 0.0749 0.2263

Computed properties:
Space-group type: C2/m

# 2
The following is a DFT calculation (GGA-PBE) of Tb2PaTaN6 after structural relaxation.

Unit cell a=5.8001 b=5.8001 c=5.9012 alpha=60.57 beta=60.57 gamma=60.00
Positions (direct):
Tb 0.5384 0.5384 0.3849
Tb 0.0381 0.0381 0.8857
Pa 0.8106 0.8106 0.5682
Ta 0.3103 0.3103 0.0692
N 0.5852 0.1762 0.2640
N 0.1762 0.9746 0.2640
N 0.9746 0.5853 0.2640
N 0.4547 0.6635 0.7718
N 0.6635 0.1101 0.7717
N 0.1101 0.4547 0.7717

Computed properties:
Space-group type: R3

# 3
The following is a DFT calculation (GGA-PBE) of Pa2TaTcN5 after structural relaxation.

Unit cell a=3.2378 b=6.7198 c=10.4091 alpha=90.00 beta=90.00 gamma=103.94
Positions (direct):
Pa 0.8539 0.7078 0.8056
Pa 0.1030 0.2059 0.6766
Pa 0.1461 0.2922 0.3056
Pa 0.8970 0.7941 0.1766
Ta 0.7998 0.5996 0.5109
Ta 0.2002 0.4004 0.0109
Tc 0.5322 0.0644 0.9551
Tc 0.4678 0.9356 0.4551
N 0.3651 0.7302 0.9946
N 0.6840 0.3680 0.8700
N 0.4880 0.9760 0.7719
N 0.2779 0.5557 0.6568
N 0.9459 0.8918 0.5825
N 0.6349 0.2698 0.4946
N 0.3160 0.6320 0.3700
N 0.5120 0.0240 0.2719
N 0.7221 0.4443 0.1568
N 0.0541 0.1082 0.0825

Computed properties:
Space-group type: Cmc2_1

# 4
The following is a DFT calculation (GGA-PBE) of Pa2TaTcN6 after structural relaxation.

Unit cell a=4.8625 b=5.3588 c=5.3588 alpha=90.00 beta=90.00 gamma=90.00
Positions (direct):
Pa 0.9898 0.5000 0.0000
Pa 0.9898 0.0000 0.5000
Ta 0.5792 0.5000 0.5000
Tc 0.5656 0.0000 0.0000
N 0.7356 0.2488 0.2488
N 0.7356 0.2488 0.7512
N 0.1846 0.5000 0.5000
N 0.1955 0.0000 0.0000
N 0.7356 0.7512 0.7512
N 0.7356 0.7512 0.2488

Computed properties:
Space-group type: P4mm

# 5
The following is a DFT calculation (GGA-PBE) of ThPa2TaN6 after structural relaxation.

Unit cell a=5.5784 b=5.3731 c=5.3731 alpha=90.00 beta=90.00 gamma=90.00
Each line ends with the local moment (μB).
Positions (direct):
Th 0.5285 0.5000 0.5000  0.05
Pa 0.9735 0.5000 0.0000  0.38
Pa 0.9735 0.0000 0.5000  0.38
Ta 0.5902 0.0000 0.0000  0.04
N 0.7535 0.2411 0.2411  -0.01
N 0.7535 0.2411 0.7589  -0.01
N 0.1268 0.5000 0.5000  -0.03
N 0.2404 0.0000 0.0000  -0.02
N 0.7535 0.7589 0.7589  -0.01
N 0.7535 0.7589 0.2411  -0.01

Computed properties:
Space-group type: P4mm

# 6
The following is a DFT calculation (GGA-PBE) of Pa2TaTiN5 after structural relaxation.

Unit cell a=3.2897 b=6.7929 c=10.2082 alpha=90.00 beta=90.00 gamma=104.01
Positions (direct):
Pa 0.8543 0.7085 0.7970
Pa 0.1045 0.2091 0.6828
Pa 0.1457 0.2915 0.2970
Pa 0.8955 0.7909 0.1828
Ta 0.7882 0.5764 0.5071
Ta 0.2118 0.4236 0.0071
Ti 0.5288 0.0577 0.9643
Ti 0.4712 0.9423 0.4643
N 0.3722 0.7444 0.0025
N 0.6793 0.3586 0.8712
N 0.4867 0.9734 0.7765
N 0.2788 0.5576 0.6555
N 0.9445 0.8891 0.5671
N 0.6278 0.2556 0.5025
N 0.3207 0.6414 0.3712
N 0.5133 0.0266 0.2765
N 0.7212 0.4424 0.1555
N 0.0555 0.1109 0.0671

Computed properties:
Space-group type: Cmc2_1

# 7
The following is a DFT calculation (GGA-PBE) of PaTa2TiN6 after structural relaxation.

Unit cell a=5.4423 b=5.4432 c=5.7074 alpha=61.51 beta=61.53 gamma=60.00
Positions (direct):
Pa 0.7961 0.7959 0.6118
Ta 0.5260 0.5256 0.4227
Ta 0.0170 0.0168 0.9492
Ti 0.3128 0.3127 0.0615
N 0.6148 0.2342 0.2433
N 0.2340 0.9076 0.2434
N 0.9076 0.6150 0.2434
N 0.3668 0.7282 0.7465
N 0.7280 0.1586 0.7466
N 0.1583 0.3669 0.7468

Computed properties:
Space-group type: R3

# 8
The following is a DFT calculation (GGA-PBE) of Tm2PaTaN6 after structural relaxation.

Unit cell a=5.7186 b=5.7185 c=5.9076 alpha=61.06 beta=61.06 gamma=60.00
Positions (direct):
Tm 0.5334 0.5334 0.3999
Tm 0.0305 0.0305 0.9084
Pa 0.8089 0.8089 0.5733
Ta 0.3096 0.3096 0.0712
N 0.5901 0.1870 0.2576
N 0.1870 0.9653 0.2576
N 0.9653 0.5902 0.2575
N 0.4410 0.6773 0.7633
N 0.6774 0.1185 0.7632
N 0.1184 0.4409 0.7633

Computed properties:
Space-group type: R3

# 9
The following is a DFT calculation (GGA-PBE) of U3Pa2TaN6 after structural relaxation.

Unit cell a=5.9121 b=5.9121 c=5.8768 alpha=99.61 beta=99.61 gamma=119.98
Each line ends with the local moment (μB).
Positions (direct):
U 0.1674 0.8326 0.5000  1.38
U 0.8326 0.1674 0.5000  1.38
U 0.5000 0.5000 0.5000  1.45
Pa 0.3338 0.6662 0.0000  0.06
Pa 0.6662 0.3338 0.0000  0.06
Ta 0.0000 0.0000 0.0000  -0.04
N 0.9220 0.6094 0.7629  -0.04
N 0.7692 0.7692 0.2424  -0.04
N 0.0780 0.3906 0.2371  -0.04
N 0.6094 0.9220 0.7629  -0.04
N 0.2308 0.2308 0.7576  -0.04
N 0.3906 0.0780 0.2371  -0.04

Computed properties:
Space-group type: C2/m

# 10
The following is a DFT calculation (GGA-PBE) of Pa2TaWN6 after structural relaxation.

Unit cell a=4.7121 b=5.4921 c=5.4921 alpha=90.00 beta=90.00 gamma=90.00
Each line ends with the local moment (μB).
Positions (direct):
Pa 0.9814 0.5000 0.0000  0.48
Pa 0.9814 0.0000 0.5000  0.48
Ta 0.5855 0.5000 0.5000  0.07
W 0.5842 0.0000 0.0000  0.09
N 0.7330 0.2485 0.2485  -0.01
N 0.7330 0.2485 0.7515  -0.01
N 0.1834 0.5000 0.5000  -0.02
N 0.1988 0.0000 0.0000  -0.01
N 0.7330 0.7515 0.7515  -0.01
N 0.7330 0.7515 0.2485  -0.01

Computed properties:
Space-group type: P4mm

# 11
The following is a DFT calculation (GGA-PBE) of Y2PaTaN4 after structural relaxation.

Unit cell a=3.3738 b=5.8273 c=5.8853 alpha=108.89 beta=90.00 gamma=90.00
Positions (direct):
Y 0.5000 0.0000 0.5000
Y 0.0000 0.5000 0.5000
Pa 0.5000 0.5000 0.0000
Ta 0.0000 0.0000 0.0000
N 0.5000 0.2305 0.2219
N 0.5000 0.7695 0.7781
N 0.0000 0.2419 0.7675
N 0.0000 0.7581 0.2325

Computed properties:
Space-group type: P2/m

# 12
The following is a DFT calculation (GGA-PBE) of Y2PaTaN6 after structural relaxation.

Unit cell a=5.7869 b=5.7869 c=5.9122 alpha=60.70 beta=60.70 gamma=60.00
Positions (direct):
Y 0.5372 0.5372 0.3885
Y 0.0364 0.0364 0.8908
Pa 0.8107 0.8107 0.5680
Ta 0.3103 0.3103 0.0691
N 0.5858 0.1786 0.2626
N 0.1786 0.9730 0.2626
N 0.9730 0.5858 0.2625
N 0.4530 0.6660 0.7704
N 0.6660 0.1107 0.7703
N 0.1107 0.4529 0.7703

Computed properties:
Space-group type: R3

# 13
The following is a DFT calculation (GGA-PBE) of PaTaZnN4 after structural relaxation.

Unit cell a=6.2248 b=6.5688 c=6.5688 alpha=65.18 beta=61.72 gamma=61.72
Positions (direct):
Pa 0.0000 0.0000 0.0000
Pa 0.0000 0.5000 0.5000
Ta 0.5000 0.0000 0.5000
Ta 0.0000 0.0000 0.5000
Zn 0.6068 0.6432 0.1432
Zn 0.3932 0.3568 0.8568
N 0.7572 0.7899 0.6956
N 0.2428 0.8044 0.7101
N 0.7572 0.1956 0.2899
N 0.2428 0.2101 0.3044
N 0.2139 0.7686 0.2686
N 0.7489 0.7686 0.2686
N 0.2511 0.2314 0.7314
N 0.7861 0.2314 0.7314

Computed properties:
Space-group type: Imma

# 14
The following is a DFT calculation (GGA-PBE) of Pa2TaZnN6 after structural relaxation.

Unit cell a=5.6319 b=5.6322 c=6.0562 alpha=62.29 beta=62.30 gamma=60.00
Positions (direct):
Pa 0.5198 0.5198 0.4405
Pa 0.0228 0.0228 0.9316
Ta 0.8132 0.8132 0.5604
Zn 0.2681 0.2683 0.1953
N 0.6287 0.1990 0.2501
N 0.1990 0.9223 0.2499
N 0.9223 0.6288 0.2499
N 0.4505 0.7385 0.7126
N 0.7387 0.0984 0.7124
N 0.0985 0.4505 0.7125

Computed properties:
Space-group type: R3

# 15
The following is a DFT calculation (GGA-PBE) of ZrPa2TaN5 after structural relaxation.

Unit cell a=3.3432 b=6.9330 c=10.4154 alpha=90.00 beta=90.00 gamma=103.95
Positions (direct):
Zr 0.7844 0.5687 0.5045
Zr 0.2156 0.4313 0.0045
Pa 0.8537 0.7074 0.7915
Pa 0.1069 0.2138 0.6891
Pa 0.1463 0.2926 0.2915
Pa 0.8931 0.7862 0.1891
Ta 0.5267 0.0534 0.9631
Ta 0.4733 0.9466 0.4631
N 0.3771 0.7542 0.0076
N 0.6748 0.3497 0.8621
N 0.4819 0.9638 0.7752
N 0.2771 0.5543 0.6609
N 0.9463 0.8926 0.5699
N 0.6229 0.2458 0.5076
N 0.3252 0.6503 0.3621
N 0.5181 0.0362 0.2752
N 0.7229 0.4457 0.1609
N 0.0537 0.1074 0.0699

Computed properties:
Space-group type: Cmc2_1

# 16
The following is a DFT calculation (GGA-PBE) of ZrPaTaN3 after structural relaxation.

Unit cell a=3.1512 b=6.9955 c=8.0724 alpha=91.94 beta=90.00 gamma=90.00
Positions (direct):
Zr 0.2500 0.6230 0.1439
Zr 0.7500 0.3770 0.8561
Pa 0.7500 0.8607 0.8303
Pa 0.2500 0.1393 0.1697
Ta 0.2500 0.1559 0.5832
Ta 0.7500 0.8441 0.4168
N 0.2500 0.8530 0.5978
N 0.7500 0.8612 0.1384
N 0.7500 0.3878 0.1298
N 0.7500 0.1470 0.4022
N 0.2500 0.6122 0.8702
N 0.2500 0.1388 0.8616

Computed properties:
Space-group type: P2_1/m

# 17
The following is a DFT calculation (GGA-PBE) of Zr2PaTaN6 after structural relaxation.

Unit cell a=5.6128 b=5.6130 c=5.8612 alpha=61.39 beta=61.39 gamma=60.00
Positions (direct):
Zr 0.5283 0.5283 0.4151
Zr 0.0268 0.0268 0.9196
Pa 0.8056 0.8057 0.5831
Ta 0.3114 0.3114 0.0659
N 0.5950 0.2114 0.2541
N 0.2113 0.9395 0.2540
N 0.9395 0.5951 0.2541
N 0.4017 0.7068 0.7564
N 0.7069 0.1349 0.7564
N 0.1350 0.4018 0.7565

Computed properties:
Space-group type: R3

# 18
The following is a DFT calculation (GGA-PBE) of TbPa5N6 after structural relaxation.

Unit cell a=6.0581 b=6.0608 c=6.0577 alpha=59.98 beta=80.41 gamma=70.55
Positions (direct):
Pa 0.5000 0.1651 0.6698
Pa 0.0000 0.3331 0.3338
Pa 0.5000 0.5000 0.0000
Pa 0.0000 0.6669 0.6662
Pa 0.5000 0.8349 0.3302
Tb 0.0000 0.0000 0.0000
N 0.7499 0.0834 0.3359
N 0.2501 0.5807 0.3359
N 0.2498 0.2528 0.0000
N 0.7502 0.7472 0.0000
N 0.7499 0.4193 0.6641
N 0.2501 0.9166 0.6641

Computed properties:
Space-group type: C2/m

# 19
The following is a DFT calculation (GGA-PBE) of TbPaN after structural relaxation.

Unit cell a=4.2875 b=4.2875 c=4.2875 alpha=60.00 beta=60.00 gamma=60.00
Each line ends with the local moment (μB).
Positions (direct):
Pa 0.5000 0.5000 0.5000  0.94
Tb 0.0000 0.0000 0.0000  0.34
N 0.2500 0.2500 0.2500  -0.01

Computed properties:
Space-group type: F-43m

# 20
The following is a DFT calculation (GGA-PBE) of Tb4Pa3N8 after structural relaxation.

Unit cell a=6.9261 b=7.0171 c=7.0171 alpha=89.30 beta=120.75 gamma=120.75
Positions (direct):
Tb 0.5000 0.0000 0.0000
Tb 0.0000 0.5000 0.0000
Tb 0.0000 0.0000 0.0000
Tb 0.0000 0.0000 0.5000
Pa 0.5000 0.5000 0.0000
Pa 0.5000 0.0000 0.5000
Pa 0.5000 0.5000 0.5000
N 0.4845 0.2439 0.2439
N 0.0000 0.7603 0.2397
N 0.0404 0.2570 0.2570
N 0.5000 0.7503 0.2497
N 0.5000 0.2497 0.7503
N 0.9596 0.7430 0.7430
N 0.0000 0.2397 0.7603
N 0.5155 0.7561 0.7561

Computed properties:
Space-group type: C2/m

Asked for energy relative to the elements, uncorrected across the records above, the calculation gives -1553; -1138; -1227; -894; -1233; -1472; -1199; -1161; -1374; -1020; -1487; -1128; -920; -1009; -1454; -1242; -1330; -1640; 21; -1467 meV per atom in order.
Asked for electronic total energy across the records above, the calculation gives -0.6941; -0.6758; -0.7667; -0.7357; -0.7390; -0.7645; -0.7573; -0.6751; -0.8033; -0.7640; -0.7301; -0.7020; -0.6548; -0.6773; -0.7685; -0.7635; -0.7474; -0.7456; -0.5485; -0.6645 Ry per atom in order.